Record 1
Material: KLaBr2
Method: DFT, PBE
State: relaxed

The calculation puts the total energy at -3.519 eV/atom. The uncorrected formation energy comes out at -1176 meV per atom. Its density of states at the Fermi level is 3.46 states/eV/cell. The calculation puts the energy above the most stable polymorph in this dataset at 253 meV/atom.

a = 6.543 Å, b = 6.543 Å, c = 3.850 Å
α = 68.62°, β = 68.62°, γ = 89.16°
Fractional coordinates of all 4 atoms:
Br 0.000 0.000 0.000
Br 0.500 0.500 0.000
K 0.500 0.000 0.500
La 0.000 0.500 0.500



Record 2
Material: SrTb4S6
Method: DFT, PBE
State: relaxed

The calculation puts the total energy at -6.166 eV/atom. The uncorrected formation energy comes out at -2078 meV per atom. Its density of states at the Fermi level is 6.26 states/eV/cell.

a = 3.955 Å, b = 6.810 Å, c = 20.280 Å
α = 90.00°, β = 90.00°, γ = 106.88°
Fractional coordinates of all 22 atoms:
Sr 0.657 0.315 0.250
Sr 0.343 0.685 0.750
Tb 0.863 0.726 0.541
Tb 0.405 0.810 0.129
Tb 0.137 0.274 0.459
Tb 0.595 0.190 0.871
Tb 0.863 0.726 0.959
Tb 0.137 0.274 0.041
Tb 0.595 0.190 0.629
Tb 0.405 0.810 0.371
S 0.500 0.000 0.000
S 0.500 0.000 0.500
S 0.042 0.084 0.339
S 0.958 0.916 0.661
S 0.958 0.916 0.839
S 0.042 0.084 0.161
S 0.770 0.539 0.414
S 0.230 0.461 0.586
S 0.230 0.461 0.914
S 0.770 0.539 0.086
S 0.323 0.646 0.250
S 0.677 0.354 0.750